! Ac4OsAuI2 (PBE-GGA, relaxed); values from VASP
&SYSTEM
  ibrav = 0, nat = 8, ntyp = 4
/
ATOMIC_SPECIES
Ac 227.00 Ac.upf
Os 190.23 Os.upf
I 126.90 I.upf
Au 196.97 Au.upf
ATOMIC_POSITIONS angstrom
Ac 0.000 5.056 1.697
Ac 0.000 -0.007 7.015
Ac 2.241 3.606 7.059
Ac 2.241 1.444 1.653
Os 2.241 3.900 0.071
I 0.000 2.525 4.356
I 2.241 -1.375 4.285
Au 0.000 0.000 0.000
CELL_PARAMETERS angstrom
4.482 0.000 0.000
0.000 7.799 0.142
0.000 -2.750 8.570
! E_form (uncorrected): -827 meV/atom
! Volume: 301 Å³/cell
! Space-group type: P2/m, No. 10



! Cr2TcCCl (PBE-GGA, relaxed); values from VASP
&SYSTEM
  ibrav = 0, nat = 5, ntyp = 4
/
ATOMIC_SPECIES
Tc 98.00 Tc.upf
Cl 35.45 Cl.upf
Cr 52.00 Cr.upf
C 12.01 C.upf
ATOMIC_POSITIONS angstrom
Tc 2.145 2.145 1.751
Cl 0.000 0.000 0.000
Cr 0.000 2.145 0.000
Cr 2.145 0.000 0.000
C 0.000 0.000 1.751
CELL_PARAMETERS angstrom
4.289 0.000 0.000
0.000 4.289 0.000
0.000 0.000 3.502
! E_form (uncorrected): 2117 meV/atom
! Volume: 64 Å³/cell
! Space-group type: P4/mmm, No. 123



! MgSc2Pa (PBE-GGA, relaxed); values from VASP
&SYSTEM
  ibrav = 0, nat = 4, ntyp = 3
/
ATOMIC_SPECIES
Sc 44.96 Sc.upf
Mg 24.30 Mg.upf
Pa 231.04 Pa.upf
ATOMIC_POSITIONS angstrom
Sc -1.000 -1.023 2.217
Sc -0.870 -2.089 -1.356
Mg -1.467 0.801 -0.292
Pa -3.337 -2.311 0.568
CELL_PARAMETERS angstrom
-2.934 1.602 -0.585
-1.740 -4.178 -2.712
-2.000 -2.045 4.434
! Formation energy: 12.9 kJ per mole of atoms
! Energy above the most stable polymorph in this dataset: 44 kJ/mol of formula units
! Volume: 94 Å³/cell
! Space-group type: P4/mmm, No. 123



! PuTc3Ge3 (PBE-GGA, relaxed); values from VASP
&SYSTEM
  ibrav = 0, nat = 14, ntyp = 3
/
ATOMIC_SPECIES
Tc 98.00 Tc.upf
Ge 72.64 Ge.upf
Pu 244.00 Pu.upf
ATOMIC_POSITIONS angstrom
Tc -2.146 2.917 5.147
Tc -0.683 4.236 1.265
Tc -0.854 3.567 -3.348
Tc -1.363 7.140 4.436
Tc -0.071 7.790 -4.059
Tc -1.534 6.471 -0.177
Ge 0.059 5.602 -5.302
Ge -1.645 3.613 -0.956
Ge -0.572 7.094 2.044
Ge -2.276 5.105 6.389
Ge -0.874 8.614 -1.327
Ge -1.343 2.093 2.414
Pu -0.820 5.943 -2.528
Pu -1.397 4.764 3.616
CELL_PARAMETERS angstrom
-2.874 0.372 -0.957
-2.693 3.679 9.521
3.350 6.657 -7.477
! Formation energy: 17.5 kJ per mole of atoms
! Energy above the most stable polymorph in this dataset: 231 kJ/mol of formula units
! Volume: 294 Å³/cell
! Space-group type: P6_3/m, No. 176



! TiCd3Sb2F6 (PBE-GGA, relaxed); values from VASP
&SYSTEM
  ibrav = 0, nat = 12, ntyp = 4
/
ATOMIC_SPECIES
F 19.00 F.upf
Cd 112.41 Cd.upf
Sb 121.76 Sb.upf
Ti 47.87 Ti.upf
ATOMIC_POSITIONS angstrom
F 2.210 1.754 6.412
F 0.887 0.000 1.261
F 4.454 3.129 6.761
F 2.210 -1.754 6.412
F 3.131 4.883 1.610
F 3.131 1.374 1.610
Cd 2.671 -1.564 4.011
Cd 2.671 1.564 4.011
Cd 0.000 3.129 0.000
Sb 0.151 3.129 2.923
Sb 5.190 0.000 5.100
Ti 2.534 0.000 0.410
CELL_PARAMETERS angstrom
5.068 0.000 0.821
0.000 6.257 0.000
0.273 -3.129 7.202
! E_form (uncorrected): -1904 meV/atom
! Volume: 227 Å³/cell
! Space-group type: C2/m, No. 12



! YPa2Ga9 (PBE-GGA, relaxed); values from VASP
&SYSTEM
  ibrav = 0, nat = 12, ntyp = 3
/
ATOMIC_SPECIES
Pa 231.04 Pa.upf
Ga 69.72 Ga.upf
Y 88.91 Y.upf
ATOMIC_POSITIONS angstrom
Pa 0.000 0.000 4.272
Pa 0.000 0.000 8.568
Ga 2.149 2.149 8.531
Ga 0.000 2.149 2.134
Ga 2.149 0.000 2.134
Ga 2.149 2.149 4.310
Ga 2.149 2.149 0.000
Ga 2.149 0.000 10.707
Ga 0.000 2.149 6.420
Ga 0.000 2.149 10.707
Ga 2.149 0.000 6.420
Y 0.000 0.000 0.000
CELL_PARAMETERS angstrom
4.299 0.000 0.000
0.000 4.299 0.000
0.000 0.000 12.841
! Formation energy: -41.6 kJ per mole of atoms
! Volume: 237 Å³/cell
! Space-group type: P4/mmm, No. 123



- Which value of volume does entry 5 give?
  227 Å³/cell



- Which value of volume does entry 5 give?
  227 Å³/cell



- Which value of volume does entry 3 give?
  94 Å³/cell



- Which of these has the highest volume?
  Ac4OsAuI2